No. 1
Compound: Si2AgPt2
Source: the Alexandria database
Functional: PBE
Structure: optimized geometry

## Properties
**Energy relative to the elements, uncorrected**: -36 kJ per mole of atoms
**Energy**: -5.525 eV per atom

Lattice parameters (Å, degrees): 5.657 5.657 5.657 136.85 136.85 62.67
Positions (direct):
Si: 0.118 0.118 0.000
Si: 0.882 0.882 0.000
Ag: 0.500 0.500 0.000
Pt: 0.250 0.750 0.500
Pt: 0.750 0.250 0.500

***

No. 2
Compound: MnZnCl
Source: the Alexandria database
Functional: PBE
Structure: optimized geometry

## Properties
**Energy relative to the elements, uncorrected**: 16 kJ per mole of atoms
**Energy**: -3.929 eV per atom

Lattice parameters (Å, degrees): 4.325 4.325 3.411 90.00 90.00 120.00
Positions (direct):
Mn: 0.000 0.000 0.000
Zn: 0.333 0.667 0.500
Cl: 0.667 0.333 0.000

***

No. 3
Compound: Th6C2SeN3
Source: the Alexandria database
Functional: PBE
Structure: optimized geometry

## Properties
**Energy relative to the elements, uncorrected**: -105 kJ per mole of atoms
**Energy**: -8.711 eV per atom

Lattice parameters (Å, degrees): 8.472 8.472 7.700 102.28 102.28 25.74
Positions (direct):
Th: 0.000 0.000 0.217
Th: 0.000 0.000 0.783
Th: 0.321 0.321 0.404
Th: 0.332 0.332 0.918
Th: 0.668 0.668 0.082
Th: 0.679 0.679 0.596
C: 0.168 0.168 0.834
C: 0.832 0.832 0.166
Se: 0.500 0.500 0.500
N: 0.171 0.171 0.332
N: 0.500 0.500 0.000
N: 0.829 0.829 0.668

***

No. 4
Compound: CdFe2Tc
Source: the Alexandria database
Functional: PBE
Structure: optimized geometry

## Properties
**Formation energy**: 0.831 eV/atom
**Energy**: -6.220 eV per atom

Lattice parameters (Å, degrees): 5.490 5.490 5.490 104.22 104.22 120.57
Positions (direct):
Cd: 0.000 0.000 0.000
Cd: 0.750 0.250 0.500
Fe: 0.176 0.625 0.051
Fe: 0.375 0.426 0.551
Fe: 0.574 0.125 0.949
Fe: 0.875 0.824 0.449
Tc: 0.250 0.750 0.500
Tc: 0.500 0.500 0.000

***

The calculation returns the following M_tot values, one per record and in order: 0.00, 3.96, 0.00, 1.90 μB per cell.